1.
Here is an optimized crystal structure of MoBr3 from Alexandria via LeMat-Bulk. Energies are from GGA-PBE.

a b c (Å): 6.119 7.205 12.505
angles (deg): 90.00 90.00 90.00
Site moments in Bohr magnetons follow the coordinates.
Element x y z (fractional)
Br  0.000  0.104  0.851  0.04
Br  0.000  0.104  0.149  0.04
Br  0.500  0.395  0.141  0.01
Br  0.500  0.970  0.000  0.01
Br  0.000  0.605  0.641  0.01
Br  0.500  0.896  0.649  0.04
Mo  0.271  0.747  0.500  1.66
Br  0.500  0.896  0.351  0.04
Br  0.000  0.030  0.500  0.01
Mo  0.229  0.253  0.000  1.66
Mo  0.729  0.747  0.500  1.66
Br  0.000  0.605  0.359  0.01
Mo  0.771  0.253  0.000  1.66
Br  0.500  0.448  0.500  0.04
Br  0.500  0.395  0.859  0.01
Br  0.000  0.552  0.000  0.04

Results
Formation energy (no corrections) in eV per atom: -0.5517
Total DFT energy (no corrections) in eV/atom: -4.51
Symmetry: Pmmn, No. 59
Crystal system: orthorhombic

***

2.
Here is an optimized crystal structure of Pm2LuTh from Alexandria via LeMat-Bulk. Energies are from GGA-PBE.

a b c (Å): 5.707 5.707 5.707
angles (deg): 60.00 60.00 60.00
Element x y z (fractional)
Th  0.000  0.000  0.000
Pm  0.250  0.250  0.250
Pm  0.750  0.750  0.750
Lu  0.500  0.500  0.500

Results
Total DFT energy (no corrections) in eV/atom: -5.15
Symmetry: Fm-3m, No. 225
Crystal system: cubic
Calculated formation energy in eV per atom: 0.21
D(E_F) in states/eV/cell: 11.12
Relative energy among the computed polymorphs in meV/atom: 166.4